# 1
Density functional theory data (GGA-PBE) for a relaxed Ta2NbRe2 crystal.

abc: 3.1309 17.9256 3.1486
angles: 90.00 90.00 90.00
Closest atoms and distances in Å follow each position.
Atoms (fractional coordinates):
Ta1 0.0000 0.1810 0.0000  4 Re 2.75, 2 Ta 2.93
Ta2 0.0000 0.8190 0.0000  4 Re 2.75, 2 Ta 2.93
Ta3 0.5000 0.3190 0.0000  4 Re 2.75, 2 Ta 2.93
Ta4 0.5000 0.6810 0.0000  4 Re 2.75, 2 Ta 2.93
Nb1 0.0000 0.0000 0.0000  8 Re 2.75
Nb2 0.5000 0.5000 0.0000  8 Re 2.75
Re1 0.0000 0.4092 0.5000  4 Ta 2.75, 4 Nb 2.75
Re2 0.0000 0.5908 0.5000  4 Ta 2.75, 4 Nb 2.75
Re3 0.5000 0.0908 0.5000  4 Ta 2.75, 4 Nb 2.75
Re4 0.5000 0.9092 0.5000  4 Ta 2.75, 4 Nb 2.75


# 2
Density functional theory data (GGA-PBE) for a relaxed Na2NiGe3Pt4 crystal.

abc: 4.0669 4.0669 10.9024
angles: 90.00 90.00 90.00
Closest atoms and distances in Å follow each position.
Atoms (fractional coordinates):
Na1 0.0000 0.5000 0.2400  4 Pt 3.08, 6 Ge 3.16-3.31, 2 Ni 3.31
Na2 0.5000 0.0000 0.7600  4 Pt 3.08, 6 Ge 3.16-3.31, 2 Ni 3.31
Ni1 0.5000 0.5000 0.0000  4 Pt 2.53
Ge1 0.0000 0.0000 0.0000  4 Pt 2.53
Ge2 0.0000 0.5000 0.6405  5 Pt 2.42-2.55
Ge3 0.5000 0.0000 0.3595  5 Pt 2.42-2.55
Pt1 0.0000 0.0000 0.5000  4 Ge 2.55
Pt2 0.0000 0.5000 0.8620  3 Ge 2.42-2.53, 2 Ni 2.53
Pt3 0.5000 0.0000 0.1380  3 Ge 2.42-2.53, 2 Ni 2.53
Pt4 0.5000 0.5000 0.5000  4 Ge 2.55


Calculated total energy? In order: -11.650 -5.060 eV per atom.
ΔE_f? In order: 0.0844 -0.4165 eV per atom.